# 1
Here is an optimized crystal structure of SrV2TcS from the Alexandria database. Energies are from PBE.

Structure (POSCAR):
```
SrV2TcS
1.0
4.4310 0.0000 0.0000
0.0000 4.4310 0.0000
0.0000 0.0000 6.4090
Sr V Tc S
1 2 1 1
direct
0.0000 0.0000 0.0000
0.0000 0.5000 0.5000
0.5000 0.0000 0.5000
0.0000 0.0000 0.5000
0.5000 0.5000 0.0000
```

Theoretical density   4.22 g/cm3
DFT total energy   -30.86 eV per cell

=====

# 2
Here is an optimized crystal structure of SrY2TcS from the Alexandria database. Energies are from PBE.

Structure (POSCAR):
```
SrY2TcS
1.0
5.7504 0.0000 0.0000
0.0000 5.7504 0.0000
0.0000 0.0000 4.6060
Sr Y Tc S
1 2 1 1
direct
0.0000 0.0000 0.0000
0.0000 0.5000 0.0000
0.5000 0.0000 0.0000
0.0000 0.0000 0.5000
0.5000 0.5000 0.5000
```

Theoretical density   4.31 g/cm3
DFT total energy   -21.46 eV per cell

=====

# 3
Here is an optimized crystal structure of SrTe2S4 from the Alexandria database. Energies are from PBE.

Structure (POSCAR):
```
SrTe2S4
1.0
4.4002 -7.2049 0.0000
4.4002 7.2049 0.0000
-4.3993 0.0000 6.3968
Sr Te S
2 4 8
direct
0.1248 0.8752 0.5000
0.8752 0.1248 0.0000
0.0224 0.5165 0.7921
0.5165 0.0224 0.2921
0.5197 0.5252 0.7933
0.5252 0.5197 0.2933
0.1282 0.5896 0.1496
0.2299 0.2903 0.8000
0.2903 0.2299 0.3000
0.3181 0.7600 0.7997
0.5896 0.1282 0.6496
0.7600 0.3181 0.2997
0.7698 0.8104 0.1507
0.8104 0.7698 0.6507
```

Theoretical density   3.86 g/cm3
DFT total energy   -56.11 eV per cell

=====

# 4
Here is an optimized crystal structure of SrTe3S from the Alexandria database. Energies are from PBE.

Structure (POSCAR):
```
SrTe3S
1.0
5.3755 0.0000 0.0000
0.0000 5.3755 0.0000
0.0000 0.0000 5.3755
Sr Te S
1 3 1
direct
0.0000 0.0000 0.0000
0.0000 0.5000 0.5000
0.5000 0.0000 0.5000
0.5000 0.5000 0.0000
0.5000 0.5000 0.5000
```

Theoretical density   5.37 g/cm3
DFT total energy   -17.24 eV per cell

=====

# 5
Here is an optimized crystal structure of SrTeS3 from the Alexandria database. Energies are from PBE.

Structure (POSCAR):
```
SrTeS3
1.0
5.0859 0.0000 0.0000
0.0000 5.0859 0.0000
0.0000 0.0000 5.0859
Sr Te S
1 1 3
direct
0.0000 0.0000 0.0000
0.5000 0.5000 0.5000
0.0000 0.5000 0.5000
0.5000 0.0000 0.5000
0.5000 0.5000 0.0000
```

Theoretical density   3.93 g/cm3
DFT total energy   -20.28 eV per cell

=====

# 6
Here is an optimized crystal structure of SrTeS from the Alexandria database. Energies are from PBE.

Structure (POSCAR):
```
SrTeS
1.0
4.1096 0.0000 0.0000
0.0000 5.5247 0.0000
0.0000 0.0000 16.6315
Sr Te S
4 4 4
direct
0.0000 0.0000 0.1582
0.0000 0.0000 0.8418
0.5000 0.5000 0.3418
0.5000 0.5000 0.6582
0.0000 0.2520 0.5000
0.0000 0.7480 0.5000
0.5000 0.2480 0.0000
0.5000 0.7520 0.0000
0.0000 0.0000 0.3292
0.0000 0.0000 0.6708
0.5000 0.5000 0.1708
0.5000 0.5000 0.8292
```

Theoretical density   4.35 g/cm3
DFT total energy   -46.69 eV per cell

=====

# 7
Here is an optimized crystal structure of SrTe3S6 from the Alexandria database. Energies are from PBE.

Structure (POSCAR):
```
SrTe3S6
1.0
5.0839 -7.3113 0.0000
5.0839 7.3113 0.0000
0.0000 0.0000 7.3827
Sr Te S
2 6 12
direct
0.2290 0.7710 0.5000
0.7710 0.2290 0.0000
0.0583 0.9417 0.0927
0.2564 0.3994 0.8087
0.3994 0.2564 0.3087
0.6006 0.7436 0.8087
0.7436 0.6006 0.3087
0.9417 0.0583 0.5927
0.0059 0.3922 0.6745
0.1107 0.2432 0.1075
0.2432 0.1107 0.6075
0.3157 0.6843 0.9228
0.3922 0.0059 0.1745
0.4338 0.5662 0.5216
0.5662 0.4338 0.0216
0.6078 0.9941 0.6745
0.6843 0.3157 0.4228
0.7568 0.8893 0.1075
0.8893 0.7568 0.6075
0.9941 0.6078 0.1745
```

Theoretical density   4.01 g/cm3
DFT total energy   -78.71 eV per cell

=====

# 8
Here is an optimized crystal structure of Sr2TeS from the Alexandria database. Energies are from PBE.

Structure (POSCAR):
```
Sr2TeS
1.0
4.4823 0.0000 0.0000
-2.2411 3.8818 0.0000
0.0000 0.0000 15.0853
Sr Te S
4 2 2
direct
0.3333 0.6667 0.1119
0.3333 0.6667 0.3881
0.6667 0.3333 0.6119
0.6667 0.3333 0.8881
0.3333 0.6667 0.7500
0.6667 0.3333 0.2500
0.0000 0.0000 0.0000
0.0000 0.0000 0.5000
```

Theoretical density   4.24 g/cm3
DFT total energy   -36.40 eV per cell